[1]
Material: Sc4TiIr5
Method: DFT, PBE
State: optimized geometry

The structure in CIF format:
```
data_Sc4TiIr5
_cell_length_a 3.1263
_cell_length_b 3.1263
_cell_length_c 16.9051
_cell_angle_alpha 90.00
_cell_angle_beta 90.00
_cell_angle_gamma 90.00
_symmetry_space_group_name_H-M 'P 4/m m m'
_symmetry_Int_Tables_number 123
_symmetry_space_group_name_Hall '-P 4 2'
loop_
_atom_site_label
_atom_site_type_symbol
_atom_site_fract_x
_atom_site_fract_y
_atom_site_fract_z
_atom_site_occupancy
Sc1 Sc 0.0000 0.0000 0.1010 1
Sc2 Sc 0.0000 0.0000 0.3025 1
Ti1 Ti 0.0000 0.0000 0.5000 1
Ir1 Ir 0.5000 0.5000 0.0000 1
Ir2 Ir 0.5000 0.5000 0.2033 1
Ir3 Ir 0.5000 0.5000 0.4097 1
```

[2]
# ScTiIr, optimized geometry, DFT PBE
data_ScTiIr
_cell_length_a 5.2814
_cell_length_b 4.3858
_cell_length_c 5.3195
_cell_angle_alpha 90.00
_cell_angle_beta 107.70
_cell_angle_gamma 90.00
_symmetry_space_group_name_H-M 'P 1 21/m 1'
_symmetry_Int_Tables_number 11
loop_
_symmetry_equiv_pos_as_xyz
'x,y,z'
'-x,-y,-z'
'-x,y+1/2,-z'
'x,-y+1/2,z'
loop_
_atom_site_label
_atom_site_type_symbol
_atom_site_fract_x
_atom_site_fract_y
_atom_site_fract_z
_atom_site_occupancy
Sc1 Sc 0.0755 0.2500 0.2813 1
Ti1 Ti 0.4712 0.2500 0.8392 1
Ir1 Ir 0.3748 0.7500 0.5980 1
# E above lowest polymorph = 0.1733 eV per atom

[3]
Material: ScTi2VIr
Method: DFT, PBE
State: optimized geometry

The structure in CIF format:
```
data_ScTi2VIr
_cell_length_a 4.3702
_cell_length_b 4.3702
_cell_length_c 4.7871
_cell_angle_alpha 90.00
_cell_angle_beta 90.00
_cell_angle_gamma 90.00
_symmetry_space_group_name_H-M 'P 4/m m m'
_symmetry_Int_Tables_number 123
_symmetry_space_group_name_Hall '-P 4 2'
loop_
_atom_site_label
_atom_site_type_symbol
_atom_site_fract_x
_atom_site_fract_y
_atom_site_fract_z
_atom_site_occupancy
Sc1 Sc 0.0000 0.0000 0.0000 1
Ti1 Ti 0.0000 0.5000 0.5000 1
V1 V 0.0000 0.0000 0.5000 1
Ir1 Ir 0.5000 0.5000 0.0000 1
```

[4]
Material: ScTiZnIr
Method: DFT, PBE
State: optimized geometry

The structure in CIF format:
```
data_ScTiZnIr
_cell_length_a 6.4071
_cell_length_b 6.4071
_cell_length_c 6.4071
_cell_angle_alpha 90.00
_cell_angle_beta 90.00
_cell_angle_gamma 90.00
_symmetry_space_group_name_H-M 'F -4 3 m'
_symmetry_Int_Tables_number 216
_symmetry_space_group_name_Hall 'F -4 2 3'
loop_
_atom_site_label
_atom_site_type_symbol
_atom_site_fract_x
_atom_site_fract_y
_atom_site_fract_z
_atom_site_occupancy
Sc1 Sc 0.0000 0.0000 0.0000 1
Ti1 Ti 0.0000 0.0000 0.5000 1
Zn1 Zn 0.2500 0.2500 0.2500 1
Ir1 Ir 0.2500 0.2500 0.7500 1
```

[5]
Material: Sc2TiZnIr
Method: DFT, PBE
State: optimized geometry

The structure in CIF format:
```
data_Sc2TiZnIr
_cell_length_a 4.7143
_cell_length_b 4.7143
_cell_length_c 4.6280
_cell_angle_alpha 90.00
_cell_angle_beta 90.00
_cell_angle_gamma 90.00
_symmetry_space_group_name_H-M 'P 4/m m m'
_symmetry_Int_Tables_number 123
_symmetry_space_group_name_Hall '-P 4 2'
loop_
_atom_site_label
_atom_site_type_symbol
_atom_site_fract_x
_atom_site_fract_y
_atom_site_fract_z
_atom_site_occupancy
Sc1 Sc 0.0000 0.5000 0.0000 1
Ti1 Ti 0.0000 0.0000 0.0000 1
Zn1 Zn 0.0000 0.0000 0.5000 1
Ir1 Ir 0.5000 0.5000 0.5000 1
```

[6]
Material: Sc8Tl2Ir
Method: DFT, PBE
State: optimized geometry

The structure in CIF format:
```
data_Sc8Tl2Ir
_cell_length_a 16.1989
_cell_length_b 5.0477
_cell_length_c 6.6590
_cell_angle_alpha 90.00
_cell_angle_beta 113.67
_cell_angle_gamma 90.00
_symmetry_space_group_name_H-M 'C 1 2/m 1'
_symmetry_Int_Tables_number 12
loop_
_symmetry_equiv_pos_as_xyz
'x,y,z'
'-x,-y,-z'
'-x,y,-z'
'x,-y,z'
'x+1/2,y+1/2,z'
'-x+1/2,-y+1/2,-z'
'-x+1/2,y+1/2,-z'
'x+1/2,-y+1/2,z'
loop_
_atom_site_label
_atom_site_type_symbol
_atom_site_fract_x
_atom_site_fract_y
_atom_site_fract_z
_atom_site_occupancy
Sc1 Sc 0.0035 0.0000 0.2608 1
Sc2 Sc 0.1220 0.5000 0.8984 1
Sc3 Sc 0.1348 0.5000 0.3829 1
Sc4 Sc 0.1845 0.0000 0.7027 1
Tl1 Tl 0.1857 0.0000 0.1859 1
Ir1 Ir 0.0000 0.5000 0.5000 1
```

[7]
Material: ScTlIr2
Method: DFT, PBE
State: optimized geometry

The structure in CIF format:
```
data_ScTlIr2
_cell_length_a 4.3370
_cell_length_b 4.3370
_cell_length_c 3.6748
_cell_angle_alpha 90.00
_cell_angle_beta 90.00
_cell_angle_gamma 90.00
_symmetry_space_group_name_H-M 'P 4/m m m'
_symmetry_Int_Tables_number 123
_symmetry_space_group_name_Hall '-P 4 2'
loop_
_atom_site_label
_atom_site_type_symbol
_atom_site_fract_x
_atom_site_fract_y
_atom_site_fract_z
_atom_site_occupancy
Sc1 Sc 0.0000 0.0000 0.0000 1
Tl1 Tl 0.5000 0.5000 0.0000 1
Ir1 Ir 0.0000 0.5000 0.5000 1
```

[8]
Material: ScTl3Ir
Method: DFT, PBE
State: optimized geometry

The structure in CIF format:
```
data_ScTl3Ir
_cell_length_a 5.2419
_cell_length_b 5.2419
_cell_length_c 5.2419
_cell_angle_alpha 90.00
_cell_angle_beta 90.00
_cell_angle_gamma 90.00
_symmetry_space_group_name_H-M 'P m -3 m'
_symmetry_Int_Tables_number 221
_symmetry_space_group_name_Hall '-P 4 2 3'
loop_
_atom_site_label
_atom_site_type_symbol
_atom_site_fract_x
_atom_site_fract_y
_atom_site_fract_z
_atom_site_occupancy
Sc1 Sc 0.0000 0.0000 0.0000 1
Tl1 Tl 0.0000 0.5000 0.5000 1
Ir1 Ir 0.5000 0.5000 0.5000 1
```

[9]
Material: Sc6TlIr
Method: DFT, PBE
State: optimized geometry

The structure in CIF format:
```
data_Sc6TlIr
_cell_length_a 6.4231
_cell_length_b 6.4461
_cell_length_c 6.9352
_cell_angle_alpha 90.46
_cell_angle_beta 117.06
_cell_angle_gamma 119.58
_symmetry_space_group_name_H-M 'P -1'
_symmetry_Int_Tables_number 2
loop_
_symmetry_equiv_pos_as_xyz
'x,y,z'
'-x,-y,-z'
loop_
_atom_site_label
_atom_site_type_symbol
_atom_site_fract_x
_atom_site_fract_y
_atom_site_fract_z
_atom_site_occupancy
Sc1 Sc 0.0452 0.0746 0.2546 1
Sc2 Sc 0.2819 0.7086 0.2531 1
Sc3 Sc 0.3134 0.5249 0.7463 1
Tl1 Tl 0.5000 0.0000 0.0000 1
Ir1 Ir 0.5000 0.5000 0.5000 1
```

[10]
Material: Sc3Tl2Ir
Method: DFT, PBE
State: optimized geometry

The structure in CIF format:
```
data_Sc3Tl2Ir
_cell_length_a 4.8305
_cell_length_b 14.7634
_cell_length_c 7.1427
_cell_angle_alpha 90.00
_cell_angle_beta 90.00
_cell_angle_gamma 90.00
_symmetry_space_group_name_H-M 'C m m m'
_symmetry_Int_Tables_number 65
_symmetry_space_group_name_Hall '-C 2 2'
loop_
_atom_site_label
_atom_site_type_symbol
_atom_site_fract_x
_atom_site_fract_y
_atom_site_fract_z
_atom_site_occupancy
Sc1 Sc 0.0000 0.0000 0.2373 1
Sc2 Sc 0.0000 0.3227 0.2116 1
Tl1 Tl 0.0000 0.1662 0.5000 1
Tl2 Tl 0.0000 0.5000 0.0000 1
Tl3 Tl 0.0000 0.5000 0.5000 1
Ir1 Ir 0.0000 0.1474 0.0000 1
```

[11]
Material: Sc4Tl3Ir
Method: DFT, PBE
State: optimized geometry

The structure in CIF format:
```
data_Sc4Tl3Ir
_cell_length_a 3.3702
_cell_length_b 3.3702
_cell_length_c 15.3125
_cell_angle_alpha 90.00
_cell_angle_beta 90.00
_cell_angle_gamma 90.00
_symmetry_space_group_name_H-M 'P 4/m m m'
_symmetry_Int_Tables_number 123
_symmetry_space_group_name_Hall '-P 4 2'
loop_
_atom_site_label
_atom_site_type_symbol
_atom_site_fract_x
_atom_site_fract_y
_atom_site_fract_z
_atom_site_occupancy
Sc1 Sc 0.0000 0.0000 0.0991 1
Sc2 Sc 0.0000 0.0000 0.3668 1
Tl1 Tl 0.5000 0.5000 0.2362 1
Tl2 Tl 0.5000 0.5000 0.5000 1
Ir1 Ir 0.5000 0.5000 0.0000 1
```

[12]
Material: ScTlIr2
Method: DFT, PBE
State: optimized geometry

The structure in CIF format:
```
data_ScTlIr2
_cell_length_a 3.1053
_cell_length_b 3.1053
_cell_length_c 26.7097
_cell_angle_alpha 90.00
_cell_angle_beta 90.00
_cell_angle_gamma 120.00
_symmetry_space_group_name_H-M 'R 3 m'
_symmetry_Int_Tables_number 160
_symmetry_space_group_name_Hall 'R 3 -2"'
loop_
_atom_site_label
_atom_site_type_symbol
_atom_site_fract_x
_atom_site_fract_y
_atom_site_fract_z
_atom_site_occupancy
Sc1 Sc 0.0000 0.0000 0.0000 1
Tl1 Tl 0.0000 0.0000 0.7653 1
Ir1 Ir 0.0000 0.0000 0.2624 1
Ir2 Ir 0.0000 0.0000 0.5135 1
```

[13]
Material: ScTlIr2
Method: DFT, PBE
State: optimized geometry

The structure in CIF format:
```
data_ScTlIr2
_cell_length_a 10.1508
_cell_length_b 3.0981
_cell_length_c 4.7516
_cell_angle_alpha 90.00
_cell_angle_beta 107.65
_cell_angle_gamma 90.00
_symmetry_space_group_name_H-M 'C 1 m 1'
_symmetry_Int_Tables_number 8
loop_
_symmetry_equiv_pos_as_xyz
'x,y,z'
'x,-y,z'
'x+1/2,y+1/2,z'
'x+1/2,-y+1/2,z'
loop_
_atom_site_label
_atom_site_type_symbol
_atom_site_fract_x
_atom_site_fract_y
_atom_site_fract_z
_atom_site_occupancy
Sc1 Sc 0.0000 0.0000 0.0000 1
Tl1 Tl 0.2197 0.0000 0.6315 1
Ir1 Ir 0.2480 0.5000 0.1408 1
Ir2 Ir 0.4735 0.0000 0.4931 1
```

[14]
Material: Sc5Tl2Ir2
Method: DFT, PBE
State: optimized geometry

The structure in CIF format:
```
data_Sc5Tl2Ir2
_cell_length_a 15.7440
_cell_length_b 7.2281
_cell_length_c 7.0500
_cell_angle_alpha 90.00
_cell_angle_beta 90.00
_cell_angle_gamma 90.00
_symmetry_space_group_name_H-M 'C m c e'
_symmetry_Int_Tables_number 64
_symmetry_space_group_name_Hall '-C 2ac 2'
loop_
_atom_site_label
_atom_site_type_symbol
_atom_site_fract_x
_atom_site_fract_y
_atom_site_fract_z
_atom_site_occupancy
Sc1 Sc 0.0000 0.0000 0.0000 1
Sc2 Sc 0.1138 0.1686 0.3359 1
Tl1 Tl 0.2218 0.0000 0.0000 1
Ir1 Ir 0.0000 0.1374 0.6382 1
```

[15]
Material: Sc2TlIr2
Method: DFT, PBE
State: optimized geometry

The structure in CIF format:
```
data_Sc2TlIr2
_cell_length_a 3.9019
_cell_length_b 3.9019
_cell_length_c 14.0302
_cell_angle_alpha 90.00
_cell_angle_beta 90.00
_cell_angle_gamma 90.00
_symmetry_space_group_name_H-M 'I 4/m m m'
_symmetry_Int_Tables_number 139
_symmetry_space_group_name_Hall '-I 4 2'
loop_
_atom_site_label
_atom_site_type_symbol
_atom_site_fract_x
_atom_site_fract_y
_atom_site_fract_z
_atom_site_occupancy
Sc1 Sc 0.0000 0.0000 0.1226 1
Tl1 Tl 0.0000 0.0000 0.5000 1
Ir1 Ir 0.0000 0.5000 0.2500 1
```

[16]
Material: Sc6Tl3Ir
Method: DFT, PBE
State: optimized geometry

The structure in CIF format:
```
data_Sc6Tl3Ir
_cell_length_a 8.8325
_cell_length_b 4.9161
_cell_length_c 10.5628
_cell_angle_alpha 90.00
_cell_angle_beta 105.24
_cell_angle_gamma 90.00
_symmetry_space_group_name_H-M 'P 1 21/m 1'
_symmetry_Int_Tables_number 11
loop_
_symmetry_equiv_pos_as_xyz
'x,y,z'
'-x,-y,-z'
'-x,y+1/2,-z'
'x,-y+1/2,z'
loop_
_atom_site_label
_atom_site_type_symbol
_atom_site_fract_x
_atom_site_fract_y
_atom_site_fract_z
_atom_site_occupancy
Sc1 Sc 0.0538 0.2500 0.4160 1
Sc2 Sc 0.1911 0.7500 0.1757 1
Sc3 Sc 0.2839 0.2500 0.0035 1
Sc4 Sc 0.3560 0.7500 0.8262 1
Sc5 Sc 0.3686 0.2500 0.3268 1
Sc6 Sc 0.4154 0.2500 0.6408 1
Tl1 Tl 0.0153 0.7500 0.8847 1
Tl2 Tl 0.1135 0.2500 0.7128 1
Tl3 Tl 0.2862 0.7500 0.4830 1
Ir1 Ir 0.4555 0.7500 0.0973 1
```

[17]
Material: ScTlIr2
Method: DFT, PBE
State: optimized geometry

The structure in CIF format:
```
data_ScTlIr2
_cell_length_a 4.2148
_cell_length_b 4.2148
_cell_length_c 18.0523
_cell_angle_alpha 90.00
_cell_angle_beta 90.00
_cell_angle_gamma 90.00
_symmetry_space_group_name_H-M 'I -4 2 d'
_symmetry_Int_Tables_number 122
_symmetry_space_group_name_Hall 'I -4 2bw'
loop_
_atom_site_label
_atom_site_type_symbol
_atom_site_fract_x
_atom_site_fract_y
_atom_site_fract_z
_atom_site_occupancy
Sc1 Sc 0.0000 0.0000 0.0000 1
Tl1 Tl 0.0000 0.0000 0.5000 1
Ir1 Ir 0.1938 0.2500 0.1250 1
```

[18]
Material: ScTlIr2
Method: DFT, PBE
State: optimized geometry

The structure in CIF format:
```
data_ScTlIr2
_cell_length_a 6.5724
_cell_length_b 6.5724
_cell_length_c 6.5724
_cell_angle_alpha 90.00
_cell_angle_beta 90.00
_cell_angle_gamma 90.00
_symmetry_space_group_name_H-M 'F -4 3 m'
_symmetry_Int_Tables_number 216
_symmetry_space_group_name_Hall 'F -4 2 3'
loop_
_atom_site_label
_atom_site_type_symbol
_atom_site_fract_x
_atom_site_fract_y
_atom_site_fract_z
_atom_site_occupancy
Sc1 Sc 0.0000 0.0000 0.0000 1
Tl1 Tl 0.2500 0.2500 0.2500 1
Ir1 Ir 0.0000 0.0000 0.5000 1
Ir2 Ir 0.2500 0.2500 0.7500 1
```

[19]
Material: ScTlIr2
Method: DFT, PBE
State: optimized geometry

The structure in CIF format:
```
data_ScTlIr2
_cell_length_a 3.0087
_cell_length_b 3.0087
_cell_length_c 8.0581
_cell_angle_alpha 90.00
_cell_angle_beta 90.00
_cell_angle_gamma 90.00
_symmetry_space_group_name_H-M 'P 4 m m'
_symmetry_Int_Tables_number 99
loop_
_symmetry_equiv_pos_as_xyz
'x,y,z'
'-y,x,z'
'-x,-y,z'
'y,-x,z'
'-x,y,z'
'y,x,z'
'x,-y,z'
'-y,-x,z'
loop_
_atom_site_label
_atom_site_type_symbol
_atom_site_fract_x
_atom_site_fract_y
_atom_site_fract_z
_atom_site_occupancy
Sc1 Sc 0.0000 0.0000 0.0000 1
Tl1 Tl 0.5000 0.5000 0.3133 1
Ir1 Ir 0.0000 0.0000 0.5611 1
Ir2 Ir 0.5000 0.5000 0.7863 1
```

[20]
Material: ScTlIr2
Method: DFT, PBE
State: optimized geometry

The structure in CIF format:
```
data_ScTlIr2
_cell_length_a 3.1587
_cell_length_b 3.5514
_cell_length_c 6.2574
_cell_angle_alpha 90.00
_cell_angle_beta 90.00
_cell_angle_gamma 90.00
_symmetry_space_group_name_H-M 'P m m m'
_symmetry_Int_Tables_number 47
loop_
_symmetry_equiv_pos_as_xyz
'x,y,z'
'-x,-y,-z'
'-x,-y,z'
'x,y,-z'
'x,-y,-z'
'-x,y,z'
'-x,y,-z'
'x,-y,z'
loop_
_atom_site_label
_atom_site_type_symbol
_atom_site_fract_x
_atom_site_fract_y
_atom_site_fract_z
_atom_site_occupancy
Sc1 Sc 0.0000 0.0000 0.0000 1
Tl1 Tl 0.0000 0.0000 0.5000 1
Ir1 Ir 0.5000 0.5000 0.2391 1
```

no.,E_form (eV per atom),DFT total energy (eV/f.u.)
1,-0.973,-87.26
2,-0.564,-24.78
3,0.638,-36.91
4,-0.591,-26.73
5,1.023,-25.58
6,-0.328,-67.85
7,-0.334,-27.76
8,0.441,-20.08
9,-0.055,-49.66
10,-0.481,-35.47
11,-0.448,-44.87
12,0.195,-25.64
13,-0.144,-27.00
14,-0.584,-59.37
15,-0.345,-34.48
16,-0.390,-57.85
17,0.222,-25.53
18,0.042,-26.25
19,-0.020,-26.50
20,-0.283,-27.55